1.
Density functional theory data (PBE) for crystalline Sc2SiIr at its relaxed geometry.

The structure in CIF format:
```
data_Sc2SiIr
_space_group_name_H-M_alt 'P m m 2'
_space_group_IT_number 25
_cell_length_a 3.153
_cell_length_b 4.296
_cell_length_c 5.525
_cell_angle_alpha 90.00
_cell_angle_beta 90.00
_cell_angle_gamma 90.00
loop_
_space_group_symop_operation_xyz
'x,y,z'
'-x,-y,z'
'-x,y,z'
'x,-y,z'
loop_
_atom_site_label
_atom_site_type_symbol
_atom_site_fract_x
_atom_site_fract_y
_atom_site_fract_z
_atom_site_occupancy
Sc1 Sc 0.000 0.000 0.000 1
Sc2 Sc 0.500 0.500 0.345 1
Si1 Si 0.000 0.000 0.502 1
Ir1 Ir 0.500 0.500 0.877 1
```

---

2.
Density functional theory data (PBE) for crystalline Ag3SbBr2F6 at its relaxed geometry.

The structure in CIF format:
```
data_Ag3SbBr2F6
_space_group_name_H-M_alt 'C 1 2/m 1'
_space_group_IT_number 12
_cell_length_a 14.163
_cell_length_b 7.228
_cell_length_c 5.029
_cell_angle_alpha 90.00
_cell_angle_beta 97.53
_cell_angle_gamma 90.00
loop_
_space_group_symop_operation_xyz
'x,y,z'
'-x,-y,-z'
'-x,y,-z'
'x,-y,z'
'x+1/2,y+1/2,z'
'-x+1/2,-y+1/2,-z'
'-x+1/2,y+1/2,-z'
'x+1/2,-y+1/2,z'
loop_
_atom_site_label
_atom_site_type_symbol
_atom_site_fract_x
_atom_site_fract_y
_atom_site_fract_z
_atom_site_occupancy
Ag1 Ag 0.000 0.000 0.000 1
Ag2 Ag 0.250 0.250 0.500 1
Sb1 Sb 0.000 0.500 0.500 1
Br1 Br 0.184 0.000 0.159 1
F1 F 0.063 0.309 0.725 1
F2 F 0.105 0.500 0.293 1
```

---

3.
# PBE Bi2Pd5, relaxed
# **Polymorph energy (0 for the lowest one)**: 0.0 kJ/mol of formula units
# **Energy of formation**: -0.27 eV per atom
data_Bi2Pd5
_space_group_name_H-M_alt 'C 1 2/m 1'
_space_group_IT_number 12
_cell_length_a 14.444
_cell_length_b 5.882
_cell_length_c 6.868
_cell_angle_alpha 90.00
_cell_angle_beta 117.08
_cell_angle_gamma 90.00
loop_
_space_group_symop_operation_xyz
'x,y,z'
'-x,-y,-z'
'-x,y,-z'
'x,-y,z'
'x+1/2,y+1/2,z'
'-x+1/2,-y+1/2,-z'
'-x+1/2,y+1/2,-z'
'x+1/2,-y+1/2,z'
loop_
_atom_site_label
_atom_site_type_symbol
_atom_site_fract_x
_atom_site_fract_y
_atom_site_fract_z
_atom_site_occupancy
Bi1 Bi 0.098 0.000 0.405 1
Bi2 Bi 0.131 0.500 0.858 1
Pd1 Pd 0.000 0.249 0.000 1
Pd2 Pd 0.094 0.500 0.414 1
Pd3 Pd 0.133 0.000 0.860 1
Pd4 Pd 0.226 0.252 0.267 1

---

4.
Density functional theory data (PBE) for crystalline CePuGaO6 at its relaxed geometry.

The structure in CIF format:
```
data_CePuGaO6
_space_group_name_H-M_alt 'P -3 1 c'
_space_group_IT_number 163
_space_group_name_Hall '-P 3 2c'
_cell_length_a 5.3479
_cell_length_b 5.3479
_cell_length_c 9.9843
_cell_angle_alpha 90.00
_cell_angle_beta 90.00
_cell_angle_gamma 120.00
loop_
_atom_site_label
_atom_site_type_symbol
_atom_site_fract_x
_atom_site_fract_y
_atom_site_fract_z
_atom_site_occupancy
Ce1 Ce 0.0000 0.0000 0.0000 1
Pu1 Pu 0.3333 0.6667 0.2500 1
Ga1 Ga 0.3333 0.6667 0.7500 1
O1 O 0.0147 0.3549 0.6367 1
```

---

5.
# PBE Tb4YTm5, relaxed
# **Polymorph energy (0 for the lowest one)**: 0.0 kJ/mol of formula units
# **Energy of formation**: 0.20 eV per atom
data_Tb4YTm5
_space_group_name_H-M_alt 'P -1'
_space_group_IT_number 2
_cell_length_a 3.494
_cell_length_b 8.682
_cell_length_c 10.927
_cell_angle_alpha 89.82
_cell_angle_beta 89.99
_cell_angle_gamma 78.45
loop_
_space_group_symop_operation_xyz
'x,y,z'
'-x,-y,-z'
loop_
_atom_site_label
_atom_site_type_symbol
_atom_site_fract_x
_atom_site_fract_y
_atom_site_fract_z
_atom_site_occupancy
Tb1 Tb 0.028 0.442 0.248 1
Tb2 Tb 0.346 0.807 0.250 1
Y1 Y 0.500 0.500 0.500 1
Tm1 Tm 0.173 0.153 0.050 1
Tm2 Tm 0.174 0.151 0.447 1
Tm3 Tm 0.500 0.500 0.000 1

---

6.
# PBE Re2NiPt, relaxed
# **Polymorph energy (0 for the lowest one)**: 27.0 kJ/mol of formula units
# **Energy of formation**: 0.02 eV per atom
data_Re2NiPt
_space_group_name_H-M_alt 'C 1 2/m 1'
_space_group_IT_number 12
_cell_length_a 9.069
_cell_length_b 2.722
_cell_length_c 4.675
_cell_angle_alpha 90.00
_cell_angle_beta 99.95
_cell_angle_gamma 90.00
loop_
_space_group_symop_operation_xyz
'x,y,z'
'-x,-y,-z'
'-x,y,-z'
'x,-y,z'
'x+1/2,y+1/2,z'
'-x+1/2,-y+1/2,-z'
'-x+1/2,y+1/2,-z'
'x+1/2,-y+1/2,z'
loop_
_atom_site_label
_atom_site_type_symbol
_atom_site_fract_x
_atom_site_fract_y
_atom_site_fract_z
_atom_site_occupancy
Re1 Re 0.249 0.000 0.242 1
Ni1 Ni 0.000 0.500 0.000 1
Pt1 Pt 0.000 0.000 0.500 1

---

Going through the records in order, we get raw total energy values of -7.219 -3.758 -5.084 -8.502 -4.538 -9.155 eV per atom.